An optimized crystal structure of FeMoOs2I. Source: the Alexandria database, functional PBE.

The structure in extended XYZ format:
```
5
Lattice="4.431 0.000 0.000 0.000 4.431 0.000 0.000 0.000 4.885" Properties=species:S:1:pos:R:3 pbc="T T T"
Fe 0.000 0.000 0.000
Mo 2.215 2.215 2.443
Os 0.000 2.215 0.000
Os 2.215 0.000 0.000
I 0.000 0.000 2.443
```

Computed properties:
The formation energy from raw total energies comes out at 2.014 eV/atom. Its space group is No. 123.

An optimized crystal structure of FeSbMoI2. Source: the Alexandria database, functional PBE.

The structure in extended XYZ format:
```
5
Lattice="5.503 0.000 0.000 0.000 5.503 0.000 0.000 0.000 4.912" Properties=species:S:1:pos:R:3 pbc="T T T"
Fe 0.000 0.000 0.000
Sb 0.000 0.000 2.456
Mo 2.751 2.751 2.456
I 0.000 2.751 0.000
I 2.751 0.000 0.000
```

Computed properties:
The formation energy from raw total energies comes out at 1.127 eV/atom. Its space group is No. 123.

An optimized crystal structure of Tl2FeMoI. Source: the Alexandria database, functional PBE.

The structure in extended XYZ format:
```
5
Lattice="5.271 0.000 0.000 0.000 5.271 0.000 0.000 0.000 4.569" Properties=species:S:1:pos:R:3 pbc="T T T"
Tl 0.000 2.636 0.000
Tl 2.636 0.000 0.000
Fe 0.000 0.000 0.000
Mo 0.000 0.000 2.284
I 2.636 2.636 2.284
```

Computed properties:
The formation energy from raw total energies comes out at 0.700 eV/atom. Its space group is No. 123.

An optimized crystal structure of FeI2N. Source: the Alexandria database, functional PBE.

The structure in extended XYZ format:
```
8
Lattice="-2.806 2.806 5.720 2.806 -2.806 5.720 2.806 2.806 -5.720" Properties=species:S:1:pos:R:3 pbc="T T T"
Fe 0.000 0.000 0.000
Fe 0.000 2.806 2.860
I 4.209 1.362 -1.430
I 1.362 1.403 1.430
I -1.403 1.444 4.290
I 1.444 1.403 7.150
N 2.806 0.000 2.860
N 0.000 0.000 5.720
```

Computed properties:
The formation energy from raw total energies comes out at 1.366 eV/atom. Its space group is No. 122.